No. 1
# Mg6CdPb5

A relaxed structure of Mg6CdPb5 (GGA-PBE, Alexandria via LeMat-Bulk).

Values from the calculation:
The calculation puts the formation energy at -0.05 eV per atom. The calculation puts the total energy at -2.47 eV/atom.

Cell: 5.3679 7.0799 16.1519 Å, 90.00 90.00 90.00°
Closest atoms and distances in Å follow each position.
Space group Immm (No. 71)
Symmetry-distinct sites (fractional):
Mg1 0.0000 0.2360 0.0000 [4 per cell]  2 Cd 3.16, 6 Pb 3.21-3.27, 1 Mg 3.34
Mg2 0.0000 0.2577 0.3377 [8 per cell]  1 Cd 3.13, 7 Pb 3.19-3.30, 1 Mg 3.43
Cd1 0.0000 0.5000 0.5000 [2 per cell]  8 Mg 3.13-3.16
Pb1 0.0000 0.0000 0.1697 [4 per cell]  8 Mg 3.19-3.27, 2 Pb 3.54
Pb2 0.0000 0.0000 0.5000 [2 per cell]  8 Mg 3.19-3.27, 2 Cd 3.54
Pb3 0.0000 0.5000 0.1631 [4 per cell]  8 Mg 3.23-3.30, 2 Pb 3.54


No. 2
# V2SiB

A relaxed structure of V2SiB (GGA-PBE, Alexandria via LeMat-Bulk).

Values from the calculation:
The formation energy without anion corrections is 0.43 kcal/mol of atoms. The calculation puts the total energy at -7.57 eV/atom. Its offset from the most stable computed form is 542 meV/atom.

Cell: 6.1668 6.1668 4.9942 Å, 90.00 90.00 90.00°
Closest atoms and distances in Å follow each position.
Space group I-42d (No. 122)
Symmetry-distinct sites (fractional):
V1 0.2166 0.7500 0.1250 [8 per cell]  2 B 2.13
Si1 0.0000 0.0000 0.5000 [4 per cell]  4 V 2.41, 2 B 2.50
B1 0.0000 0.0000 0.0000 [4 per cell]  4 V 2.13


No. 3
# AgPSe2

A relaxed structure of AgPSe2 (GGA-PBE, Alexandria via LeMat-Bulk).

Values from the calculation:
The formation energy without anion corrections is 8.84 kcal/mol of atoms. The calculation puts the total energy at -3.42 eV/atom.

Cell: 3.6136 3.6136 16.5592 Å, 90.00 90.00 90.00°
Closest atoms and distances in Å follow each position.
Space group I-4m2 (No. 119)
Symmetry-distinct sites (fractional):
Ag1 0.0000 0.0000 0.0000 [2 per cell]  4 Se 2.56
P1 0.0000 0.5000 0.7500 [2 per cell]  4 Se 2.56
Se1 0.0000 0.0000 0.5000 [2 per cell]  4 Ag 2.56
Se2 0.0000 0.5000 0.2500 [2 per cell]  4 P 2.56


No. 4
# LiTl2Hg

A relaxed structure of LiTl2Hg (GGA-PBE, Alexandria via LeMat-Bulk).

Values from the calculation:
The calculation puts the formation energy at -0.06 eV per atom. The calculation puts the total energy at -1.80 eV/atom. Its offset from the most stable computed form is 71 meV/atom.

Cell: 3.4936 3.4936 28.4200 Å, 90.00 90.00 120.00°
Closest atoms and distances in Å follow each position.
Space group R-3m (No. 166, hexagonal axes)
Symmetry-distinct sites (fractional):
Li1 0.0000 0.0000 0.0000 [3 per cell]  6 Tl 2.99
Tl1 0.0000 0.0000 0.2556 [6 per cell]  3 Li 2.99, 3 Hg 3.23
Hg1 0.0000 0.0000 0.5000 [3 per cell]  6 Tl 3.23, 6 Hg 3.49


No. 5
# LiNd3Ag2

A relaxed structure of LiNd3Ag2 (GGA-PBE, Alexandria via LeMat-Bulk).

Values from the calculation:
The calculation puts the formation energy at -0.14 eV per atom. The calculation puts the total energy at -3.79 eV/atom. Its offset from the most stable computed form is 0 meV/atom.

Cell: 5.2611 15.9302 3.8261 Å, 90.00 90.00 90.00°
Closest atoms and distances in Å follow each position.
Space group Cmmm (No. 65)
Symmetry-distinct sites (fractional):
Li1 0.0000 0.0000 0.0000 [2 per cell]  8 Nd 3.25-3.34, 4 Ag 3.64
Nd1 0.0000 0.1718 0.5000 [4 per cell]  6 Ag 3.26-3.33, 2 Li 3.34, 2 Nd 3.62
Nd2 0.0000 0.5000 0.5000 [2 per cell]  4 Ag 3.16, 4 Li 3.25
Ag1 0.0000 0.3425 0.0000 [4 per cell]  8 Nd 3.16-3.33


No. 6
# Pm2TaGaN5

A relaxed structure of Pm2TaGaN5 (GGA-PBE, Alexandria via LeMat-Bulk).

Values from the calculation:
The formation energy without anion corrections is -21.39 kcal/mol of atoms. The calculation puts the total energy at -8.26 eV/atom.

Cell: 3.2827 13.9608 10.2041 Å, 90.00 90.00 90.00°
Closest atoms and distances in Å follow each position.
Space group Cmc2_1 (No. 36)
Symmetry-distinct sites (fractional):
Pm1 0.0000 0.1143 0.0000 [4 per cell]  7 N 2.43-2.68
Pm2 0.0000 0.1293 0.5866 [4 per cell]  6 N 2.44-2.68
Ta1 0.0000 0.2196 0.3005 [4 per cell]  5 N 2.00-2.17
Ga1 0.0000 0.4875 0.7714 [4 per cell]  4 N 1.91-2.11
N1 0.0000 0.0613 0.3412 [4 per cell]  2 Ga 1.91
N2 0.0000 0.2868 0.9400 [4 per cell]  2 Ta 2.17
N3 0.0000 0.2992 0.6706 [4 per cell]  2 Ta 2.13
N4 0.0000 0.3630 0.3018 [4 per cell]  1 Ta 2.00, 1 Ga 2.11
N5 0.0000 0.5002 0.0804 [4 per cell]  1 Ga 1.96


No. 7
# Ca3PmSm2Te6

A relaxed structure of Ca3PmSm2Te6 (GGA-PBE, Alexandria via LeMat-Bulk).

Values from the calculation:
The formation energy without anion corrections is -34.62 kcal/mol of atoms. The calculation puts the total energy at -4.75 eV/atom.

Cell: 7.6874 13.3003 7.8646 Å, 90.00 109.03 90.00°
Closest atoms and distances in Å follow each position.
Space group C2/m (No. 12)
Symmetry-distinct sites (fractional):
Ca1 0.0000 0.0000 0.0000 [2 per cell]  6 Te 3.15-3.16
Ca2 0.0000 0.3338 0.0000 [4 per cell]  6 Te 3.15-3.16
Pm1 0.0000 0.5000 0.5000 [2 per cell]  6 Te 3.18
Sm1 0.0000 0.1667 0.5000 [4 per cell]  6 Te 3.17
Te1 0.2495 0.0000 0.7519 [4 per cell]  3 Ca 3.15, 2 Sm 3.17, 1 Pm 3.18
Te2 0.2487 0.1672 0.2479 [8 per cell]  3 Ca 3.15-3.16, 2 Sm 3.17, 1 Pm 3.18


No. 8
# UAgBi2

A relaxed structure of UAgBi2 (GGA-PBE, Alexandria via LeMat-Bulk).

Values from the calculation:
The calculation puts the formation energy at 0.02 eV per atom. The calculation puts the total energy at -5.45 eV/atom.

Cell: 4.9885 4.9885 4.1624 Å, 90.00 90.00 90.00°
Closest atoms and distances in Å follow each position.
Space group P4/mmm (No. 123)
Symmetry-distinct sites (fractional):
U1 0.0000 0.0000 0.0000 [1 per cell]  8 Bi 3.25, 4 Ag 3.53
Ag1 0.5000 0.5000 0.0000 [1 per cell]  8 Bi 3.25, 4 U 3.53
Bi1 0.0000 0.5000 0.5000 [2 per cell]  4 U 3.25, 4 Ag 3.25, 4 Bi 3.53


No. 9
# Cu2RuSe

A relaxed structure of Cu2RuSe (GGA-PBE, Alexandria via LeMat-Bulk).

Values from the calculation:
The formation energy without anion corrections is 9.83 kcal/mol of atoms. The calculation puts the total energy at -4.81 eV/atom.

Cell: 2.7188 2.7188 8.2251 Å, 90.00 90.00 90.00°
Closest atoms and distances in Å follow each position.
Space group P4/mmm (No. 123)
Symmetry-distinct sites (fractional):
Cu1 0.0000 0.0000 0.2239 [2 per cell]  4 Ru 2.66, 4 Cu 2.72, 4 Se 2.98
Ru1 0.5000 0.5000 0.0000 [1 per cell]  8 Cu 2.66, 4 Ru 2.72
Se1 0.5000 0.5000 0.5000 [1 per cell]  4 Se 2.72, 8 Cu 2.98


No. 10
# Ce4Sm3Se8

A relaxed structure of Ce4Sm3Se8 (GGA-PBE, Alexandria via LeMat-Bulk).

Values from the calculation:
The formation energy without anion corrections is -42.39 kcal/mol of atoms. The calculation puts the total energy at -6.22 eV/atom. Its offset from the most stable computed form is 0 meV/atom.

Cell: 11.8256 11.8300 8.3594 Å, 90.00 134.95 90.00°
Closest atoms and distances in Å follow each position.
Space group C2/m (No. 12)
Symmetry-distinct sites (fractional):
Ce1 0.0000 0.0000 0.0000 [2 per cell]  6 Se 2.97
Ce2 0.0000 0.5000 0.5000 [2 per cell]  6 Se 3.00
Ce3 0.2500 0.2500 0.0000 [4 per cell]  6 Se 2.96
Sm1 0.0000 0.5000 0.0000 [2 per cell]  6 Se 2.94-2.95
Sm2 0.2500 0.2500 0.5000 [4 per cell]  6 Se 2.96
Se1 0.0000 0.2467 0.5000 [4 per cell]  2 Sm 2.96, 3 Ce 2.96-3.00
Se2 0.0000 0.2510 0.0000 [4 per cell]  3 Sm 2.95-2.96, 3 Ce 2.96-2.97
Se3 0.2473 0.0000 0.5016 [4 per cell]  3 Sm 2.95-2.96, 2 Ce 2.97-3.00
Se4 0.2476 0.0000 0.9927 [4 per cell]  1 Sm 2.94, 4 Ce 2.96-3.00


No. 11
# KRb2WBr6

A relaxed structure of KRb2WBr6 (GGA-PBE, Alexandria via LeMat-Bulk).

Values from the calculation:
The formation energy without anion corrections is -26.48 kcal/mol of atoms. The calculation puts the total energy at -3.75 eV/atom. Its offset from the most stable computed form is 0 meV/atom.

Cell: 7.7128 7.7128 46.7454 Å, 90.00 90.00 120.00°
Closest atoms and distances in Å follow each position.
Space group R-3m (No. 166, hexagonal axes)
Symmetry-distinct sites (fractional):
K1 0.0000 0.0000 0.0850 [6 per cell]  6 Br 3.25-3.27
Rb1 0.0000 0.0000 0.1906 [6 per cell]  9 Br 3.54-3.88
Rb2 0.0000 0.0000 0.3582 [6 per cell]  9 Br 3.55-3.87
W1 0.0000 0.0000 0.0000 [3 per cell]  6 Br 2.62
W2 0.0000 0.0000 0.5000 [3 per cell]  6 Br 2.61
Br1 0.0136 0.5068 0.6341 [18 per cell]  1 W 2.62
Br2 0.0171 0.5086 0.1995 [18 per cell]  1 W 2.61


Copy entry 2 word for word.
# V2SiB

A relaxed structure of V2SiB (GGA-PBE, Alexandria via LeMat-Bulk).

Values from the calculation:
The formation energy without anion corrections is 0.43 kcal/mol of atoms. The calculation puts the total energy at -7.57 eV/atom. Its offset from the most stable computed form is 542 meV/atom.

Cell: 6.1668 6.1668 4.9942 Å, 90.00 90.00 90.00°
Closest atoms and distances in Å follow each position.
Space group I-42d (No. 122)
Symmetry-distinct sites (fractional):
V1 0.2166 0.7500 0.1250 [8 per cell]  2 B 2.13
Si1 0.0000 0.0000 0.5000 [4 per cell]  4 V 2.41, 2 B 2.50
B1 0.0000 0.0000 0.0000 [4 per cell]  4 V 2.13